{
  "formula": "SiAg2P",
  "functional": "GGA-PBEsol",
  "state": "optimized geometry",
  "spacegroup": "No. 119",
  "dft_energy_ev_per_atom": -4.19,
  "e_above_lowest_polymorph_mev_per_atom": 49,
  "raw_formation_energy_mev_per_atom": 352,
  "crystal_system": "tetragonal",
  "dos_at_fermi_per_ev_atom": 0.367,
  "lattice": [[3.988, 0.000, 0.000], [0.000, 3.988, 0.000], [0.000, 0.000, 8.081]],
  "species": ["Si", "Si", "Ag", "Ag", "Ag", "Ag", "P", "P"],
  "frac_coords": [[0.000, 0.000, 0.000], [0.500, 0.500, 0.500], [0.000, 0.000, 0.500], [0.000, 0.500, 0.250], [0.500, 0.000, 0.750], [0.500, 0.500, 0.000], [0.000, 0.500, 0.750], [0.500, 0.000, 0.250]]
}